# 1
La6Co2Bi | PBE | relaxed

Summary:
* electronic total energy: -5.5638 eV per atom
* calculated formation energy: -0.269 eV per atom
* ρ: 7.12 g/cm3
* magnetization: 0.00 μB/f.u.
* crystal system: orthorhombic
* DOS(E_F): 1.009 states/eV per atom

a = 8.9248 Å, b = 8.9248 Å, c = 8.9248 Å
α = 116.09°, β = 107.93°, γ = 104.62°
With the nearest neighbours (Å) after each atom.
Positions (direct):
La: 0.0168 0.2230 0.7938  1 Co 2.66
La: 0.1772 0.4817 0.3046  2 Co 3.00
La: 0.1772 0.8726 0.6954  2 Co 3.00
La: 0.3245 0.3092 0.6337  3 Co 2.72-2.97
La: 0.3245 0.6908 0.0153  3 Co 2.72-2.97
La: 0.4292 0.2230 0.2062  1 Co 2.66
La: 0.5708 0.7770 0.7938  1 Co 2.66
La: 0.6755 0.3092 0.9847  3 Co 2.72-2.97
La: 0.6755 0.6908 0.3663  3 Co 2.72-2.97
La: 0.8228 0.1274 0.3046  2 Co 3.00
La: 0.8228 0.5183 0.6954  2 Co 3.00
La: 0.9832 0.7770 0.2062  1 Co 2.66
Co: 0.1300 0.5000 0.6300  6 La 2.72-3.00, 1 Co 2.73
Co: 0.3642 0.3642 0.0000  6 La 2.66-2.97, 1 Co 2.96
Co: 0.6358 0.6358 0.0000  6 La 2.66-2.97, 1 Co 2.96
Co: 0.8700 0.5000 0.3700  6 La 2.72-3.00, 1 Co 2.73
Bi: 0.0000 0.0000 0.0000  8 La 3.26-3.47
Bi: 0.5000 0.0000 0.5000  4 La 3.45

***

# 2
LaCoBi2 | PBE | relaxed

Summary:
* electronic total energy: -4.9099 eV per atom
* calculated formation energy: 0.039 eV per atom
* ρ: 9.62 g/cm3
* magnetization: 1.95 μB/f.u.
* crystal system: cubic
* DOS(E_F): 0.714 states/eV per atom

a = 5.3162 Å, b = 5.3162 Å, c = 5.3162 Å
α = 60.00°, β = 60.00°, γ = 60.00°
With the nearest neighbours (Å) after each atom.
Positions (direct):
La: 0.0000 0.0000 0.0000  8 Bi 3.26
Co: 0.5000 0.5000 0.5000  8 Bi 3.26
Bi: 0.2500 0.2500 0.2500  4 La 3.26, 4 Co 3.26
Bi: 0.7500 0.7500 0.7500  4 La 3.26, 4 Co 3.26

***

# 3
La3CoBi | PBE | relaxed

Summary:
* electronic total energy: -5.0128 eV per atom
* calculated formation energy: 0.141 eV per atom
* ρ: 4.66 g/cm3
* magnetization: 0.00 μB/f.u.
* crystal system: orthorhombic
* distance to the lowest polymorph of the same formula: 636 meV per atom
* DOS(E_F): 0.993 states/eV per atom

a = 3.7723 Å, b = 9.3875 Å, c = 9.3875 Å
α = 47.22°, β = 90.00°, γ = 90.00°
With the nearest neighbours (Å) after each atom.
Positions (direct):
La: 0.0000 0.0000 0.0000  1 Co 2.72
La: 0.5000 0.0522 0.5751  2 Co 2.65
La: 0.5000 0.5751 0.0522  2 Co 2.65
Co: 0.0000 0.8416 0.8416  5 La 2.65-2.72
Bi: 0.5000 0.1560 0.1560  4 La 3.28-3.35

***

# 4
La12Co5Bi3 | PBE | relaxed

Summary:
* electronic total energy: -5.5320 eV per atom
* calculated formation energy: -0.217 eV per atom
* ρ: 6.47 g/cm3
* magnetization: 0.00 μB/f.u.
* crystal system: cubic
* DOS(E_F): 1.121 states/eV per atom

a = 15.1131 Å, b = 15.1131 Å, c = 15.1131 Å
α = 109.47°, β = 109.47°, γ = 109.47°
With the nearest neighbours (Å) after each atom.
Positions (direct):
La: 0.0197 0.1994 0.1158  2 Co 2.58-2.79
La: 0.0197 0.3204 0.9039  2 Co 2.58-2.79
La: 0.0836 0.6994 0.6796  2 Co 2.58-2.79
La: 0.0836 0.8842 0.4039  2 Co 2.58-2.79
La: 0.0961 0.6158 0.4164  2 Co 2.58-2.79
La: 0.0961 0.9803 0.6796  2 Co 2.58-2.79
La: 0.1158 0.0197 0.1994  2 Co 2.58-2.79
La: 0.1158 0.5961 0.9164  2 Co 2.58-2.79
La: 0.1796 0.1994 0.5836  2 Co 2.58-2.79
La: 0.1796 0.4803 0.5961  2 Co 2.58-2.79
La: 0.1994 0.1158 0.0197  2 Co 2.58-2.79
La: 0.1994 0.5836 0.1796  2 Co 2.58-2.79
La: 0.3006 0.3204 0.9164  2 Co 2.58-2.79
La: 0.3006 0.4803 0.3842  2 Co 2.58-2.79
La: 0.3204 0.9039 0.0197  2 Co 2.58-2.79
La: 0.3204 0.9164 0.3006  2 Co 2.58-2.79
La: 0.3842 0.3006 0.4803  2 Co 2.58-2.79
La: 0.3842 0.5836 0.9039  2 Co 2.58-2.79
La: 0.4039 0.0836 0.8842  2 Co 2.58-2.79
La: 0.4039 0.8204 0.5197  2 Co 2.58-2.79
La: 0.4164 0.0961 0.6158  2 Co 2.58-2.79
La: 0.4164 0.8204 0.8006  2 Co 2.58-2.79
La: 0.4803 0.3842 0.3006  2 Co 2.58-2.79
La: 0.4803 0.5961 0.1796  2 Co 2.58-2.79
La: 0.5197 0.4039 0.8204  2 Co 2.58-2.79
La: 0.5197 0.6158 0.6994  2 Co 2.58-2.79
La: 0.5836 0.1796 0.1994  2 Co 2.58-2.79
La: 0.5836 0.9039 0.3842  2 Co 2.58-2.79
La: 0.5961 0.1796 0.4803  2 Co 2.58-2.79
La: 0.5961 0.9164 0.1158  2 Co 2.58-2.79
La: 0.6158 0.4164 0.0961  2 Co 2.58-2.79
La: 0.6158 0.6994 0.5197  2 Co 2.58-2.79
La: 0.6796 0.0836 0.6994  2 Co 2.58-2.79
La: 0.6796 0.0961 0.9803  2 Co 2.58-2.79
La: 0.6994 0.5197 0.6158  2 Co 2.58-2.79
La: 0.6994 0.6796 0.0836  2 Co 2.58-2.79
La: 0.8006 0.4164 0.8204  2 Co 2.58-2.79
La: 0.8006 0.8842 0.9803  2 Co 2.58-2.79
La: 0.8204 0.5197 0.4039  2 Co 2.58-2.79
La: 0.8204 0.8006 0.4164  2 Co 2.58-2.79
La: 0.8842 0.4039 0.0836  2 Co 2.58-2.79
La: 0.8842 0.9803 0.8006  2 Co 2.58-2.79
La: 0.9039 0.0197 0.3204  2 Co 2.58-2.79
La: 0.9039 0.3842 0.5836  2 Co 2.58-2.79
La: 0.9164 0.1158 0.5961  2 Co 2.58-2.79
La: 0.9164 0.3006 0.3204  2 Co 2.58-2.79
La: 0.9803 0.6796 0.0961  2 Co 2.58-2.79
La: 0.9803 0.8006 0.8842  2 Co 2.58-2.79
Co: 0.0000 0.0000 0.0000  6 La 2.79
Co: 0.0000 0.0000 0.5000  6 La 2.79
Co: 0.0000 0.5000 0.0000  6 La 2.79
Co: 0.0000 0.5000 0.5000  6 La 2.79
Co: 0.1250 0.7500 0.8750  4 La 2.58
Co: 0.1250 0.8750 0.2500  4 La 2.58
Co: 0.2500 0.1250 0.8750  4 La 2.58
Co: 0.2500 0.6250 0.3750  4 La 2.58
Co: 0.3750 0.2500 0.6250  4 La 2.58
Co: 0.3750 0.6250 0.7500  4 La 2.58
Co: 0.5000 0.0000 0.0000  6 La 2.79
Co: 0.5000 0.0000 0.5000  6 La 2.79
Co: 0.5000 0.5000 0.0000  6 La 2.79
Co: 0.5000 0.5000 0.5000  6 La 2.79
Co: 0.6250 0.3750 0.2500  4 La 2.58
Co: 0.6250 0.7500 0.3750  4 La 2.58
Co: 0.7500 0.3750 0.6250  4 La 2.58
Co: 0.7500 0.8750 0.1250  4 La 2.58
Co: 0.8750 0.1250 0.7500  4 La 2.58
Co: 0.8750 0.2500 0.1250  4 La 2.58
Bi: 0.1250 0.2500 0.3750  8 La 3.39-3.53
Bi: 0.1250 0.3750 0.7500  8 La 3.39-3.53
Bi: 0.2500 0.3750 0.1250  8 La 3.39-3.53
Bi: 0.2500 0.8750 0.6250  8 La 3.39-3.53
Bi: 0.3750 0.1250 0.2500  8 La 3.39-3.53
Bi: 0.3750 0.7500 0.1250  8 La 3.39-3.53
Bi: 0.6250 0.2500 0.8750  8 La 3.39-3.53
Bi: 0.6250 0.8750 0.7500  8 La 3.39-3.53
Bi: 0.7500 0.1250 0.3750  8 La 3.39-3.53
Bi: 0.7500 0.6250 0.8750  8 La 3.39-3.53
Bi: 0.8750 0.6250 0.2500  8 La 3.39-3.53
Bi: 0.8750 0.7500 0.6250  8 La 3.39-3.53

***

# 5
La3CoBi | PBE | relaxed

Summary:
* electronic total energy: -5.5185 eV per atom
* calculated formation energy: -0.365 eV per atom
* ρ: 7.41 g/cm3
* magnetization: 0.00 μB/f.u.
* crystal system: monoclinic
* distance to the lowest polymorph of the same formula: 130 meV per atom
* DOS(E_F): 1.458 states/eV per atom

a = 8.8097 Å, b = 8.8097 Å, c = 8.1979 Å
α = 100.80°, β = 100.80°, γ = 89.18°
With the nearest neighbours (Å) after each atom.
Positions (direct):
La: 0.0175 0.6791 0.4272  2 Co 2.97-3.00, 1 La 3.27
La: 0.0877 0.6856 0.9035  1 Co 2.60
La: 0.3144 0.9123 0.5965  1 Co 2.60
La: 0.3209 0.9825 0.0728  2 Co 2.97-3.00, 1 La 3.27
La: 0.3442 0.3564 0.9181  2 Co 2.85-2.87
La: 0.3564 0.3442 0.4181  2 Co 2.85-2.87
La: 0.6436 0.6558 0.5819  2 Co 2.85-2.87
La: 0.6558 0.6436 0.0819  2 Co 2.85-2.87
La: 0.6791 0.0175 0.9272  2 Co 2.97-3.00, 1 La 3.27
La: 0.6856 0.0877 0.4035  1 Co 2.60
La: 0.9123 0.3144 0.0965  1 Co 2.60
La: 0.9825 0.3209 0.5728  2 Co 2.97-3.00, 1 La 3.27
Co: 0.2447 0.5524 0.6803  1 Co 2.50, 1 La 2.60
Co: 0.4476 0.7553 0.8197  1 Co 2.50, 1 La 2.60
Co: 0.5524 0.2447 0.1803  1 Co 2.50, 1 La 2.60
Co: 0.7553 0.4476 0.3197  1 Co 2.50, 1 La 2.60
Bi: 0.0063 0.9937 0.2500  8 La 3.34-3.71
Bi: 0.3423 0.6577 0.2500  8 La 3.30-3.43
Bi: 0.6577 0.3423 0.7500  8 La 3.30-3.43
Bi: 0.9937 0.0063 0.7500  8 La 3.34-3.71

***

# 6
LaCo2Bi | PBE | relaxed

Summary:
* electronic total energy: -5.3556 eV per atom
* calculated formation energy: 0.399 eV per atom
* ρ: 8.58 g/cm3
* magnetization: 1.86 μB/f.u.
* crystal system: tetragonal
* DOS(E_F): 0.725 states/eV per atom

a = 8.7749 Å, b = 8.7749 Å, c = 8.7749 Å
α = 148.84°, β = 148.84°, γ = 44.65°
With the nearest neighbours (Å) after each atom.
Positions (direct):
La: 0.0000 0.0000 0.0000  4 Co 2.57
La: 0.7500 0.2500 0.5000  4 Co 2.57
Co: 0.0953 0.6250 0.9703  2 La 2.57, 2 Bi 2.69
Co: 0.3750 0.3453 0.4703  2 La 2.57, 2 Bi 2.69
Co: 0.6547 0.1250 0.0297  2 La 2.57, 2 Bi 2.69
Co: 0.8750 0.9047 0.5297  2 La 2.57, 2 Bi 2.69
Bi: 0.2500 0.7500 0.5000  4 Co 2.69
Bi: 0.5000 0.5000 0.0000  4 Co 2.69

***

# 7
La3CoBi | PBE | relaxed

Summary:
* electronic total energy: -5.5921 eV per atom
* calculated formation energy: -0.438 eV per atom
* ρ: 7.13 g/cm3
* magnetization: 0.00 μB/f.u.
* crystal system: orthorhombic
* distance to the lowest polymorph of the same formula: 57 meV per atom
* DOS(E_F): 0.907 states/eV per atom

a = 7.1214 Å, b = 7.1214 Å, c = 9.3929 Å
α = 90.00°, β = 90.00°, γ = 138.00°
With the nearest neighbours (Å) after each atom.
Positions (direct):
La: 0.0652 0.9348 0.7500  2 Co 2.57
La: 0.3725 0.6275 0.5589  2 Co 2.91-3.10
La: 0.3725 0.6275 0.9411  2 Co 2.91-3.10
La: 0.6275 0.3725 0.0589  2 Co 2.91-3.10
La: 0.6275 0.3725 0.4411  2 Co 2.91-3.10
La: 0.9348 0.0652 0.2500  2 Co 2.57
Co: 0.4548 0.5452 0.2500  2 La 2.57
Co: 0.5452 0.4548 0.7500  2 La 2.57
Bi: 0.2364 0.7636 0.2500  1 Co 2.90
Bi: 0.7636 0.2364 0.7500  1 Co 2.90

***

# 8
La3CoBi | PBE | relaxed

Summary:
* electronic total energy: -5.3331 eV per atom
* calculated formation energy: -0.179 eV per atom
* ρ: 7.71 g/cm3
* magnetization: 0.00 μB/f.u.
* crystal system: orthorhombic
* distance to the lowest polymorph of the same formula: 316 meV per atom
* DOS(E_F): 1.069 states/eV per atom

a = 7.5242 Å, b = 7.5242 Å, c = 6.4859 Å
α = 90.00°, β = 90.00°, γ = 126.57°
With the nearest neighbours (Å) after each atom.
Positions (direct):
La: 0.0000 0.0000 0.0000  2 Co 2.85
La: 0.0000 0.0000 0.5000  2 Co 2.85
La: 0.0626 0.4502 0.7500  1 Co 2.42
La: 0.4502 0.0626 0.2500  1 Co 2.42
La: 0.5498 0.9374 0.7500  1 Co 2.42
La: 0.9374 0.5498 0.2500  1 Co 2.42
Co: 0.1743 0.8257 0.7500  2 La 2.42
Co: 0.8257 0.1743 0.2500  2 La 2.42
Bi: 0.4229 0.5771 0.2500  6 La 3.53-3.89, 2 Co 3.63, 2 Bi 3.85
Bi: 0.5771 0.4229 0.7500  6 La 3.53-3.89, 2 Co 3.63, 2 Bi 3.85

***

# 9
La3CoBi | PBE | relaxed

Summary:
* electronic total energy: -5.5969 eV per atom
* calculated formation energy: -0.443 eV per atom
* ρ: 7.30 g/cm3
* magnetization: 0.50 μB/f.u.
* crystal system: monoclinic
* distance to the lowest polymorph of the same formula: 52 meV per atom
* DOS(E_F): 0.623 states/eV per atom

a = 8.4939 Å, b = 8.4939 Å, c = 8.8902 Å
α = 92.99°, β = 92.99°, γ = 29.11°
With the nearest neighbours (Å) after each atom.
Positions (direct):
La: 0.0468 0.0468 0.1844  1 Co 3.08, 2 Bi 3.39
La: 0.2503 0.2503 0.7757  2 Co 2.89
La: 0.3795 0.3795 0.4690  2 Co 2.70
La: 0.6205 0.6205 0.5310  2 Co 2.70
La: 0.7497 0.7497 0.2243  2 Co 2.89
La: 0.9532 0.9532 0.8156  1 Co 3.08, 2 Bi 3.39
Co: 0.1949 0.1949 0.4123  4 La 2.70-2.89
Co: 0.8051 0.8051 0.5877  4 La 2.70-2.89
Bi: 0.3867 0.3867 0.0793  8 La 3.39-3.48
Bi: 0.6133 0.6133 0.9207  8 La 3.39-3.48

***

# 10
La3CoBi | PBE | relaxed

Summary:
* electronic total energy: -5.2102 eV per atom
* calculated formation energy: -0.056 eV per atom
* ρ: 6.88 g/cm3
* magnetization: 0.00 μB/f.u.
* crystal system: tetragonal
* distance to the lowest polymorph of the same formula: 439 meV per atom
* DOS(E_F): 0.618 states/eV per atom

a = 9.0819 Å, b = 9.0819 Å, c = 9.0819 Å
α = 138.10°, β = 138.10°, γ = 60.76°
With the nearest neighbours (Å) after each atom.
Positions (direct):
La: 0.1854 0.1854 0.0000  2 Co 3.40, 2 Bi 3.43, 6 La 3.56-3.79
La: 0.3587 0.6132 0.7455  2 Co 2.42-2.67
La: 0.3868 0.1323 0.7455  2 Co 2.42-2.67
La: 0.3868 0.6413 0.2545  2 Co 2.42-2.67
La: 0.8146 0.8146 0.0000  2 Co 3.40, 2 Bi 3.43, 6 La 3.56-3.79
La: 0.8677 0.6132 0.2545  2 Co 2.42-2.67
Co: 0.2500 0.7500 0.5000  4 La 2.67
Co: 0.5000 0.5000 0.0000  4 La 2.42
Bi: 0.6145 0.1145 0.5000  6 La 3.43-3.64, 2 Co 3.71
Bi: 0.8855 0.3855 0.5000  6 La 3.43-3.64, 2 Co 3.71

***

# 11
La3CoBi | PBE | relaxed

Summary:
* electronic total energy: -5.6449 eV per atom
* calculated formation energy: -0.491 eV per atom
* ρ: 7.54 g/cm3
* magnetization: 0.00 μB/f.u.
* crystal system: triclinic
* distance to the lowest polymorph of the same formula: 4 meV per atom
* DOS(E_F): 1.071 states/eV per atom

a = 4.5137 Å, b = 8.6881 Å, c = 8.7984 Å
α = 119.01°, β = 90.71°, γ = 90.20°
With the nearest neighbours (Å) after each atom.
Positions (direct):
La: 0.0000 0.0000 0.0000  1 Co 2.97
La: 0.0011 0.3854 0.5865  1 Co 3.19, 4 Bi 3.44-3.50
La: 0.0072 0.5582 0.1479  1 Co 2.74
La: 0.4902 0.2253 0.8207  2 Co 2.41-2.47
La: 0.5130 0.7619 0.5694  2 Co 2.82-2.95
La: 0.5227 0.9748 0.3381  2 Co 2.72-2.75
Co: 0.0291 0.8773 0.4461  1 Co 2.33
Co: 0.9801 0.1096 0.7280  1 Co 2.33, 2 La 2.41-2.47
Bi: 0.5015 0.6592 0.9005  9 La 3.44-3.53
Bi: 0.5028 0.3250 0.2625  9 La 3.42-3.55

***

# 12
La8Co4Bi | PBE | relaxed

Summary:
* electronic total energy: -5.6757 eV per atom
* calculated formation energy: -0.158 eV per atom
* ρ: 5.84 g/cm3
* magnetization: 0.00 μB/f.u.
* crystal system: monoclinic
* DOS(E_F): 0.820 states/eV per atom

a = 8.1756 Å, b = 8.1756 Å, c = 10.2060 Å
α = 124.87°, β = 124.87°, γ = 59.50°
With the nearest neighbours (Å) after each atom.
Positions (direct):
La: 0.0029 0.5135 0.1945  3 Co 2.75-2.84
La: 0.0047 0.0047 0.1811  3 Co 2.80-2.92
La: 0.4861 0.4861 0.7907  3 Co 2.69-2.78
La: 0.4865 0.9971 0.8055  3 Co 2.75-2.84
La: 0.5135 0.0029 0.1945  3 Co 2.75-2.84
La: 0.5139 0.5139 0.2093  3 Co 2.69-2.78
La: 0.9953 0.9953 0.8189  3 Co 2.80-2.92
La: 0.9971 0.4865 0.8055  3 Co 2.75-2.84
Co: 0.2631 0.7369 0.0000  6 La 2.78-2.80
Co: 0.2655 0.2655 0.0241  6 La 2.69-2.92
Co: 0.7345 0.7345 0.9759  6 La 2.69-2.92
Co: 0.7369 0.2631 0.0000  6 La 2.78-2.80
Bi: 0.0000 0.0000 0.5000  6 La 3.30-3.37